! PrCoTcO6 PBE+U relaxed; values from VASP
&SYSTEM
  ibrav = 0, nat = 9, ntyp = 4
/
ATOMIC_SPECIES
Pr 140.91 Pr.upf
Co 58.93 Co.upf
Tc 98.00 Tc.upf
O 16.00 O.upf
ATOMIC_POSITIONS crystal
Pr 0.0000 0.0000 0.0000
Co 0.6666 0.6667 0.5000
Tc 0.3333 0.3333 0.5000
O 0.9964 0.3794 0.2906
O 0.3794 0.9964 0.7094
O 0.6242 0.3794 0.7094
O 0.9964 0.6242 0.7094
O 0.3794 0.6242 0.2906
O 0.6242 0.9964 0.2906
CELL_PARAMETERS angstrom
-4.6593 -2.0024 0.5427
-1.9821 -2.8883 -3.7070
2.0350 -4.1534 2.1481
! Uncorrected energy = -65.94 eV for the cell shown
! Calculated volume = 115 Å³/cell
! DOS at the Fermi energy = 3.44 states/eV/cell
! Theoretical density = 5.69 g/cm3
! Magnetic moment = 1.01 μB/cell